# 1
Compound: BaCu13
Source: Alexandria via LeMat-Bulk
Functional: meta-GGA SCAN
Structure: single point on PBEsol structure

Values from the calculation:
- Energy: -16.94 eV/atom
- ΔE_f: 0.5 meV/atom

Lattice parameters (Å, degrees): 8.146 8.146 8.146 60.00 60.00 60.00
Sites, in units of the cell vectors:
1 Ba 0.250 0.250 0.250
2 Ba 0.750 0.750 0.750
3 Cu 0.000 0.000 0.000
4 Cu 0.064 0.294 0.706
5 Cu 0.064 0.706 0.936
6 Cu 0.064 0.936 0.294
7 Cu 0.206 0.436 0.794
8 Cu 0.206 0.564 0.436
9 Cu 0.206 0.794 0.564
10 Cu 0.294 0.064 0.936
11 Cu 0.294 0.706 0.064
12 Cu 0.294 0.936 0.706
13 Cu 0.436 0.206 0.564
14 Cu 0.436 0.564 0.794
15 Cu 0.436 0.794 0.206
16 Cu 0.500 0.500 0.500
17 Cu 0.564 0.206 0.794
18 Cu 0.564 0.436 0.206
19 Cu 0.564 0.794 0.436
20 Cu 0.706 0.064 0.294
21 Cu 0.706 0.294 0.936
22 Cu 0.706 0.936 0.064
23 Cu 0.794 0.206 0.436
24 Cu 0.794 0.436 0.564
25 Cu 0.794 0.564 0.206
26 Cu 0.936 0.064 0.706
27 Cu 0.936 0.294 0.064
28 Cu 0.936 0.706 0.294

# 2
Compound: Li2CoSi
Source: Alexandria via LeMat-Bulk
Functional: meta-GGA SCAN
Structure: single point on PBEsol structure

Values from the calculation:
- E_form (uncorrected): 0.06 eV/atom
- Energy: -7.97 eV/atom

Lattice parameters (Å, degrees): 2.450 2.450 8.250 90.00 90.00 90.00
Sites, in units of the cell vectors:
1 Li 0.000 0.000 0.247
2 Li 0.000 0.000 0.753
3 Co 0.500 0.500 0.000
4 Si 0.500 0.500 0.500

# 3
Compound: SrAgP2
Source: Alexandria via LeMat-Bulk
Functional: meta-GGA SCAN
Structure: single point on PBEsol structure

Values from the calculation:
- Energy: -18.47 eV/atom
- ΔE_f: 140.4 meV/atom

Lattice parameters (Å, degrees): 4.838 4.838 4.838 60.00 60.00 60.00
Sites, in units of the cell vectors:
1 Sr 0.000 0.000 0.000
2 Ag 0.250 0.250 0.250
3 P 0.500 0.500 0.500
4 P 0.750 0.750 0.750

# 4
Compound: Sr2ScP
Source: Alexandria via LeMat-Bulk
Functional: meta-GGA SCAN
Structure: single point on PBEsol structure

Values from the calculation:
- Energy: -17.85 eV/atom
- ΔE_f: -549.0 meV/atom

Lattice parameters (Å, degrees): 3.630 3.630 9.158 90.00 90.00 90.00
Sites, in units of the cell vectors:
1 Sr 0.000 0.000 0.000
2 Sr 0.500 0.500 0.371
3 Sc 0.500 0.500 0.707
4 P 0.000 0.000 0.622

Copy entry 1 word for word.
Compound: BaCu13
Source: Alexandria via LeMat-Bulk
Functional: meta-GGA SCAN
Structure: single point on PBEsol structure

Values from the calculation:
- Energy: -16.94 eV/atom
- ΔE_f: 0.5 meV/atom

Lattice parameters (Å, degrees): 8.146 8.146 8.146 60.00 60.00 60.00
Sites, in units of the cell vectors:
1 Ba 0.250 0.250 0.250
2 Ba 0.750 0.750 0.750
3 Cu 0.000 0.000 0.000
4 Cu 0.064 0.294 0.706
5 Cu 0.064 0.706 0.936
6 Cu 0.064 0.936 0.294
7 Cu 0.206 0.436 0.794
8 Cu 0.206 0.564 0.436
9 Cu 0.206 0.794 0.564
10 Cu 0.294 0.064 0.936
11 Cu 0.294 0.706 0.064
12 Cu 0.294 0.936 0.706
13 Cu 0.436 0.206 0.564
14 Cu 0.436 0.564 0.794
15 Cu 0.436 0.794 0.206
16 Cu 0.500 0.500 0.500
17 Cu 0.564 0.206 0.794
18 Cu 0.564 0.436 0.206
19 Cu 0.564 0.794 0.436
20 Cu 0.706 0.064 0.294
21 Cu 0.706 0.294 0.936
22 Cu 0.706 0.936 0.064
23 Cu 0.794 0.206 0.436
24 Cu 0.794 0.436 0.564
25 Cu 0.794 0.564 0.206
26 Cu 0.936 0.064 0.706
27 Cu 0.936 0.294 0.064
28 Cu 0.936 0.706 0.294

> energy of number 3 (SrAgP2)?

-18.47 eV/atom

> Which of these has the lowest energy?

SrAgP2